Material: Sm2CdHg2
Method: DFT, PBE
State: relaxed

abc: 8.205 8.205 4.030
angles: 90.00 90.00 90.00
Space group P4/mbm (No. 127)
Inequivalent atoms, fractional coordinates:
1 Sm 0.169 0.331 0.000 x4
2 Cd 0.000 0.000 0.500 x2
3 Hg 0.131 0.631 0.500 x4

Results
The calculation puts the total energy at -2.594 eV per atom. For the calculated formation energy, the calculation gives -0.40 eV/atom. Its mass density is 10.0 g cm⁻³. The calculation puts the density of states at the Fermi level at 0.763 states/eV/atom.


Material: SmCd3Hg3
Method: DFT, PBE
State: relaxed

abc: 8.7996 8.7996 5.4348
angles: 90.00 90.00 120.00
Space group P6_3/m (No. 176)
Inequivalent atoms, fractional coordinates:
1 Sm 0.3333 0.6667 0.2500 x2
2 Cd 0.0928 0.5442 0.7500 x6
3 Hg 0.1206 0.2461 0.2500 x6

Results
The calculation puts the total energy at -1.340 eV per atom. For the calculated formation energy, the calculation gives -0.14 eV/atom. Its mass density is 9.9 g cm⁻³. The calculation puts the density of states at the Fermi level at 0.407 states/eV/atom.


Material: Sm6CdHg6
Method: DFT, PBE
State: relaxed

abc: 6.3171 6.3171 10.7095
angles: 90.00 90.00 120.00
Space group P6/mmm (No. 191)
Inequivalent atoms, fractional coordinates:
1 Sm 0.0000 0.0000 0.1795 x2
2 Sm 0.3333 0.6667 0.0000 x2
3 Sm 0.3333 0.6667 0.5000 x2
4 Cd 0.0000 0.0000 0.5000 x1
5 Hg 0.0000 0.5000 0.2530 x6

Results
The calculation puts the total energy at -2.656 eV per atom. For the calculated formation energy, the calculation gives -0.27 eV/atom. Its mass density is 10.0 g cm⁻³. The calculation puts the density of states at the Fermi level at 1.164 states/eV/atom.